VASP calculation (PBE) on a relaxed Ho8In4CS3 crystal.

## Properties
- DOS at the Fermi energy: 0.4595 states/eV per atom
- VASP energy: -0.1966 hartree per atom
- Formation energy from raw total energies: -1.03 eV per atom

a = 13.061 Å, b = 7.557 Å, c = 8.980 Å
α = 90.00°, β = 118.90°, γ = 90.00°
Space group C2/m (No. 12)
Asymmetric unit:
Ho (0.014, 0.230, 0.312) [8 per cell]
Ho (0.216, 0.000, 0.688) [4 per cell]
Ho (0.234, 0.500, 0.704) [4 per cell]
In (0.000, 0.000, 0.000) [2 per cell]
In (0.000, 0.500, 0.000) [2 per cell]
In (0.250, 0.250, 0.000) [4 per cell]
C (0.000, 0.000, 0.500) [2 per cell]
S (0.000, 0.500, 0.500) [2 per cell]
S (0.250, 0.250, 0.500) [4 per cell]

VASP calculation (PBE) on a relaxed Ho2ScInC crystal.

## Properties
- DOS at the Fermi energy: 0.1782 states/eV per atom
- VASP energy: -0.2224 hartree per atom
- Formation energy: -0.56 eV/atom

a = 4.893 Å, b = 4.893 Å, c = 4.584 Å
α = 90.00°, β = 90.00°, γ = 90.00°
Space group P4/mmm (No. 123)
Asymmetric unit:
Ho (0.000, 0.500, 0.000) [2 per cell]
Sc (0.000, 0.000, 0.500) [1 per cell]
In (0.500, 0.500, 0.500) [1 per cell]
C (0.000, 0.000, 0.000) [1 per cell]

VASP calculation (PBE) on a relaxed HoSc2InC crystal.

## Properties
- DOS at the Fermi energy: 0.2088 states/eV per atom
- VASP energy: -0.2368 hartree per atom
- Formation energy: -0.60 eV/atom

a = 4.594 Å, b = 4.594 Å, c = 4.849 Å
α = 90.00°, β = 90.00°, γ = 90.00°
Space group P4/mmm (No. 123)
Asymmetric unit:
Ho (0.000, 0.000, 0.000) [1 per cell]
Sc (0.000, 0.500, 0.500) [2 per cell]
In (0.500, 0.500, 0.000) [1 per cell]
C (0.000, 0.000, 0.500) [1 per cell]

VASP calculation (PBE) on a relaxed Ho8In4CSe3 crystal.

## Properties
- DOS at the Fermi energy: 0.4201 states/eV per atom
- VASP energy: -0.1879 hartree per atom
- Formation energy from raw total energies: -0.91 eV per atom

a = 7.7574 Å, b = 7.7574 Å, c = 23.5245 Å
α = 90.00°, β = 90.00°, γ = 120.00°
Space group R-3m (No. 166, hexagonal axes)
Asymmetric unit:
Ho (0.0000, 0.0000, 0.2399) [6 per cell]
Ho (0.0360, 0.5180, 0.2318) [18 per cell]
In (0.0000, 0.0000, 0.0000) [3 per cell]
In (0.0000, 0.5000, 0.0000) [9 per cell]
C (0.0000, 0.0000, 0.5000) [3 per cell]
Se (0.0000, 0.5000, 0.5000) [9 per cell]

VASP calculation (PBE) on a relaxed HoTm2InC crystal.

## Properties
- DOS at the Fermi energy: 0.1436 states/eV per atom
- VASP energy: -0.2073 hartree per atom
- Formation energy: -0.54 eV/atom

a = 4.839 Å, b = 4.839 Å, c = 4.891 Å
α = 90.00°, β = 90.00°, γ = 90.00°
Space group P4/mmm (No. 123)
Asymmetric unit:
Ho (0.000, 0.000, 0.000) [1 per cell]
Tm (0.000, 0.500, 0.500) [2 per cell]
In (0.500, 0.500, 0.000) [1 per cell]
C (0.000, 0.000, 0.500) [1 per cell]

VASP calculation (PBE) on a relaxed Ho2TmInC crystal.

## Properties
- DOS at the Fermi energy: 0.1749 states/eV per atom
- VASP energy: -0.2077 hartree per atom
- Formation energy: -0.53 eV/atom

a = 4.894 Å, b = 4.894 Å, c = 4.839 Å
α = 90.00°, β = 90.00°, γ = 90.00°
Space group P4/mmm (No. 123)
Asymmetric unit:
Ho (0.000, 0.500, 0.000) [2 per cell]
Tm (0.000, 0.000, 0.500) [1 per cell]
In (0.500, 0.500, 0.500) [1 per cell]
C (0.000, 0.000, 0.000) [1 per cell]

VASP calculation (PBE) on a relaxed Y2HoInC crystal.

## Properties
- DOS at the Fermi energy: 0.2077 states/eV per atom
- VASP energy: -0.2362 hartree per atom
- Formation energy: -0.53 eV/atom

a = 4.930 Å, b = 4.930 Å, c = 4.902 Å
α = 90.00°, β = 90.00°, γ = 90.00°
Space group P4/mmm (No. 123)
Asymmetric unit:
Y (0.000, 0.500, 0.000) [2 per cell]
Ho (0.000, 0.000, 0.500) [1 per cell]
In (0.500, 0.500, 0.500) [1 per cell]
C (0.000, 0.000, 0.000) [1 per cell]

VASP calculation (PBE) on a relaxed HoIrC crystal.

## Properties
- DOS at the Fermi energy: 0.4251 states/eV per atom
- VASP energy: -0.2865 hartree per atom
- Formation energy: -0.24 eV/atom

a = 3.3647 Å, b = 3.3647 Å, c = 4.8065 Å
α = 90.00°, β = 90.00°, γ = 120.00°
Space group P3m1 (No. 156)
Asymmetric unit:
Ho (0.0000, 0.0000, 0.0000) [1 per cell]
Ir (0.6667, 0.3333, 0.4708) [1 per cell]
C (0.3333, 0.6667, 0.3173) [1 per cell]